# 1
NaTcWI2 | PBE-GGA | relaxed

Unit cell a=5.300 b=5.993 c=5.300 alpha=90.00 beta=90.00 gamma=90.00
Each line ends with the local moment (μB).
Positions (direct):
I  0.000  0.000  0.500  0.04
I  0.500  0.000  0.000  0.01
Na  0.000  0.500  0.000  0.00
Tc  0.500  0.500  0.500  3.82
W  0.000  0.000  0.000  -0.12

Calculated values
For the volume, the calculation gives 168.4 Å³ per cell. For the magnetic moment, the calculation gives 4.7 μB/f.u. As for the theoretical density: 5.51 g/cm³. The total energy is -3.79 eV per atom.

---

# 2
SrCaY2Rh | PBE-GGA | relaxed

Unit cell a=5.456 b=5.456 c=5.790 alpha=90.00 beta=90.00 gamma=90.00
Positions (direct):
Y  0.000  0.500  0.000
Y  0.500  0.000  0.000
Sr  0.500  0.500  0.500
Ca  0.000  0.000  0.500
Rh  0.000  0.000  0.000

Calculated values
For the volume, the calculation gives 172.4 Å³ per cell. For the magnetic moment, the calculation gives 0.0 μB/f.u. As for the theoretical density: 3.93 g/cm³. The calculation puts the formation energy at -0.2891 eV per atom.

---

# 3
Sn2PdRh | PBE-GGA | relaxed

Unit cell a=3.325 b=3.325 c=6.563 alpha=90.00 beta=90.00 gamma=90.00
Positions (direct):
Rh  0.500  0.500  0.000
Sn  0.000  0.000  0.757
Sn  0.000  0.000  0.243
Pd  0.500  0.500  0.500

Calculated values
For the volume, the calculation gives 72.6 Å³ per cell. For the magnetic moment, the calculation gives 0.0 μB/f.u. As for the theoretical density: 10.22 g/cm³. The calculation puts the formation energy at -0.3410 eV per atom.

---

# 4
TlCo2Hg | PBE-GGA | relaxed

Unit cell a=5.003 b=5.003 c=7.229 alpha=56.31 beta=56.31 gamma=35.88
Each line ends with the local moment (μB).
Positions (direct):
Co  0.971  0.971  0.884  1.53
Co  0.529  0.529  0.616  1.53
Hg  0.750  0.750  0.750  -0.04
Tl  0.250  0.250  0.250  -0.05

Calculated values
For the volume, the calculation gives 86.2 Å³ per cell. For the magnetic moment, the calculation gives 2.9 μB/f.u. As for the theoretical density: 10.08 g/cm³. The calculation puts the formation energy at 0.5292 eV per atom.

---

# 5
ThGePt4 | PBE-GGA | relaxed

Unit cell a=4.308 b=5.633 c=10.152 alpha=90.00 beta=102.25 gamma=90.00
Positions (direct):
Th  0.391  0.750  0.782
Th  0.609  0.250  0.218
Ge  0.101  0.750  0.201
Ge  0.899  0.250  0.799
Pt  0.205  0.488  0.411
Pt  0.795  0.512  0.589
Pt  0.205  0.012  0.411
Pt  0.795  0.988  0.589
Pt  0.667  0.750  0.334
Pt  0.333  0.250  0.666
Pt  0.000  0.500  0.000
Pt  0.000  0.000  0.000

Calculated values
For the volume, the calculation gives 240.8 Å³ per cell. For the magnetic moment, the calculation gives 0.0 μB/f.u. As for the theoretical density: 14.97 g/cm³. The calculation puts the formation energy at -0.7232 eV per atom.

---

# 6
Al2TeCl | PBE-GGA | relaxed

Unit cell a=5.027 b=5.027 c=5.027 alpha=60.00 beta=60.00 gamma=60.00
Positions (direct):
Te  0.750  0.750  0.750
Al  0.000  0.000  0.000
Al  0.250  0.250  0.250
Cl  0.500  0.500  0.500

Calculated values
For the volume, the calculation gives 89.8 Å³ per cell. For the magnetic moment, the calculation gives 0.0 μB/f.u. As for the theoretical density: 4.01 g/cm³. The total energy is -3.01 eV per atom.